18
Lattice="-5.395 0.950 -1.560 1.173 -3.939 3.943 -0.865 7.001 7.250" Properties=species:S:1:pos:R:3 comment="PaNbSnO6 | Alexandria | PBE | optimized geometry" sg="No. 163" total_magnetization_mub_per_fu=0.00 final_energy_ev_per_cell=-153.4 vol_a3_per_cell=284.2 pbc="T T T"
O -2.148 1.277 0.520
Pa -1.232 -0.559 3.921
Sn 0.000 0.000 0.000
O -0.100 3.500 8.712
O -2.939 2.734 9.113
Nb -1.665 2.941 7.547
O -1.345 0.980 7.960
Sn -0.432 3.500 3.625
O -1.936 1.448 3.417
O -4.867 0.991 3.510
O -2.235 4.849 7.154
O -3.150 2.563 6.216
Nb -3.422 1.070 2.087
Pa -3.854 4.571 5.712
O -4.987 0.511 0.921
O -3.741 3.032 1.673
O -2.852 -0.838 2.479
O -0.220 3.021 6.123

=====

10
Lattice="-2.562 -3.353 0.553 2.893 -2.516 -1.846 3.629 -1.497 7.728" Properties=species:S:1:pos:R:3 comment="Sr2PaNbO6 | Alexandria | PBE | optimized geometry" sg="No. 123" total_magnetization_mub_per_fu=0.71 final_energy_ev_per_cell=-81.7 vol_a3_per_cell=157.0 pbc="T T T"
O 1.447 -1.258 -0.923
O 3.261 -2.007 2.941
Sr 2.567 -1.059 5.465
Sr 1.063 -0.438 2.263
O 1.087 -3.314 1.316
O 0.534 -2.425 4.141
O 2.874 -4.051 5.119
Pa 0.166 -2.934 -0.646
O -1.281 -1.676 0.277
Nb 1.980 -3.683 3.218

=====

20
Lattice="7.502 0.000 0.000 -2.501 7.073 0.000 -2.501 -3.536 6.125" Properties=species:S:1:pos:R:3 comment="Pa3NbTl4O12 | Alexandria | PBE | optimized geometry" sg="No. 229" total_magnetization_mub_per_fu=0.00 final_energy_ev_per_cell=-158.5 vol_a3_per_cell=325.0 pbc="T T T"
O 1.193 -0.844 1.461
O 1.193 1.687 0.000
O -1.193 0.844 1.461
Tl -1.250 3.536 0.000
O 3.751 0.000 3.063
Nb 0.000 0.000 0.000
O -3.808 2.693 4.664
O -1.250 0.884 4.594
Tl 1.250 1.768 3.063
O -1.250 3.536 3.063
Tl -1.250 -1.768 3.063
O 3.808 -2.693 4.664
O 1.250 -0.884 4.594
Pa 2.501 -1.768 3.063
O 1.250 4.420 1.531
Pa -2.501 1.768 3.063
O 3.808 5.385 0.000
O 3.751 2.652 1.531
Pa 2.501 3.536 0.000
Tl 3.751 0.000 0.000

=====

12
Lattice="5.114 -0.091 -0.003 -0.082 5.111 -0.006 0.004 0.008 6.750" Properties=species:S:1:pos:R:3 comment="PaNbTl2O8 | Alexandria | PBE | optimized geometry" sg="No. 10" total_magnetization_mub_per_fu=0.00 final_energy_ev_per_cell=-88.5 vol_a3_per_cell=176.4 pbc="T T T"
O 1.437 1.432 6.747
O 3.598 3.595 -0.006
Pa 0.002 0.004 3.375
O 3.523 3.524 3.369
Tl 2.516 2.511 1.626
O 1.513 1.503 3.372
Tl 2.519 2.516 5.115
O 4.205 0.832 5.174
O 0.832 4.199 5.172
O 4.203 0.828 1.569
Nb 0.000 0.000 0.000
O 0.830 4.195 1.567

=====

18
Lattice="-6.357 3.742 2.528 -5.928 1.624 -4.798 -6.863 -3.645 0.652" Properties=species:S:1:pos:R:3 comment="PaNb3Tl2O12 | Alexandria | PBE | optimized geometry" sg="No. 166" total_magnetization_mub_per_fu=1.42 final_energy_ev_per_cell=-143.7 vol_a3_per_cell=324.9 pbc="T T T"
O -9.601 1.561 -3.560
O -9.875 2.915 1.126
O -8.950 3.530 -1.544
O -4.883 1.090 -2.978
O -9.547 0.160 1.941
Nb -2.964 0.812 -2.399
O -5.440 -2.055 0.275
O -13.708 3.776 -1.894
O -10.199 -1.809 -0.074
Tl -12.942 1.163 -1.094
Nb -3.179 1.871 1.264
Nb -3.431 -1.822 0.326
O -14.266 0.631 1.359
Pa 0.000 0.000 0.000
Tl -6.206 0.558 -0.525
O -14.010 -0.633 -3.014
O -5.139 2.354 1.396
O -9.273 -1.194 -2.744

=====

10
Lattice="6.014 0.000 0.000 3.007 5.208 0.000 3.007 1.736 4.911" Properties=species:S:1:pos:R:3 comment="PaNbTl2O6 | Alexandria | PBE | optimized geometry" sg="No. 225" total_magnetization_mub_per_fu=0.00 final_energy_ev_per_cell=-77.7 vol_a3_per_cell=153.8 pbc="T T T"
O 4.572 4.305 1.278
O 6.014 5.138 3.633
O 7.456 2.640 3.633
O 6.014 1.807 1.278
O 4.572 2.640 3.633
Tl 3.007 1.736 1.228
Nb 6.014 3.472 2.455
O 7.456 4.305 1.278
Tl 9.021 5.208 3.683
Pa 0.000 0.000 0.000

=====

| no. | formation energy from raw total energies (meV/atom) |
| --- | --- |
| 1 | -2600 |
| 2 | -2904 |
| 3 | -2549 |
| 4 | -2041 |
| 5 | -2210 |
| 6 | -2366 |